1.
# YTc2Ag

YTc2Ag after structural relaxation (PBE, Alexandria via LeMat-Bulk).

a b c (Å): 5.593 5.593 2.865
angles (deg): 78.84 78.84 120.18
Positions (direct):
Tc 0.500 0.500 0.000
Ag 0.000 0.500 0.500
Y 0.500 0.000 0.500
Tc 0.000 0.000 0.000

Properties
Fermi-level density of states = 0.93 states/eV/atom
VASP energy = -0.5210 Ry per atom


2.
# YTc2Ag

YTc2Ag after structural relaxation (PBE, Alexandria via LeMat-Bulk).

a b c (Å): 3.127 3.127 7.614
angles (deg): 90.00 90.00 90.00
Positions (direct):
Tc 0.500 0.500 0.205
Tc 0.000 0.000 0.032
Ag 0.500 0.500 0.780
Y 0.000 0.000 0.483

Properties
Fermi-level density of states = 0.68 states/eV/atom
VASP energy = -0.5465 Ry per atom


3.
# YTcAg2

YTcAg2 after structural relaxation (PBE, Alexandria via LeMat-Bulk).

a b c (Å): 3.519 3.519 6.379
angles (deg): 90.00 90.00 90.00
Last column: magnetic moment on the atom in μB.
Positions (direct):
Tc 0.000 0.000 0.481  1.24
Ag 0.500 0.500 0.253  0.05
Y 0.500 0.500 0.738  -0.03
Ag 0.000 0.000 0.027  0.00

Properties
Fermi-level density of states = 0.92 states/eV/atom
VASP energy = -0.3973 Ry per atom


4.
# YTc2Ag

YTc2Ag after structural relaxation (PBE, Alexandria via LeMat-Bulk).

a b c (Å): 2.829 4.416 6.036
angles (deg): 90.00 90.00 90.00
Positions (direct):
Y 0.500 0.500 0.250
Ag 0.500 0.500 0.750
Tc 0.000 0.000 0.554
Tc 0.000 0.000 0.946

Properties
Fermi-level density of states = 1.31 states/eV/atom
VASP energy = -0.5144 Ry per atom


5.
# YTcAg2

YTcAg2 after structural relaxation (PBE, Alexandria via LeMat-Bulk).

a b c (Å): 3.655 3.655 5.891
angles (deg): 90.00 90.00 90.00
Last column: magnetic moment on the atom in μB.
Positions (direct):
Tc 0.500 0.500 0.250  0.91
Ag 0.000 0.000 0.019  0.02
Ag 0.000 0.000 0.481  0.02
Y 0.500 0.500 0.750  -0.03

Properties
Fermi-level density of states = 0.83 states/eV/atom
VASP energy = -0.3904 Ry per atom


6.
# YTc2Ag

YTc2Ag after structural relaxation (PBE, Alexandria via LeMat-Bulk).

a b c (Å): 2.774 2.774 9.277
angles (deg): 90.00 90.00 90.00
Positions (direct):
Ag 0.500 0.500 0.750
Y 0.500 0.500 0.250
Tc 0.000 0.000 0.513
Tc 0.000 0.000 0.987

Properties
Fermi-level density of states = 1.03 states/eV/atom
VASP energy = -0.5083 Ry per atom


7.
# YTcAg2

YTcAg2 after structural relaxation (PBE, Alexandria via LeMat-Bulk).

a b c (Å): 5.826 5.826 4.606
angles (deg): 66.41 66.41 33.05
Last column: magnetic moment on the atom in μB.
Positions (direct):
Tc 0.750 0.750 0.750  0.12
Ag 0.019 0.019 0.981  0.00
Y 0.250 0.250 0.250  -0.01
Ag 0.481 0.481 0.519  0.00

Properties
Fermi-level density of states = 0.99 states/eV/atom
VASP energy = -0.3989 Ry per atom


8.
# YTc2Ag

YTc2Ag after structural relaxation (PBE, Alexandria via LeMat-Bulk).

a b c (Å): 2.821 2.821 9.329
angles (deg): 90.00 90.00 106.34
Positions (direct):
Tc 0.000 0.000 0.508
Y 0.500 0.500 0.250
Tc 0.000 0.000 0.992
Ag 0.500 0.500 0.750

Properties
Fermi-level density of states = 1.23 states/eV/atom
VASP energy = -0.5078 Ry per atom


9.
# YTcAg

YTcAg after structural relaxation (PBE, Alexandria via LeMat-Bulk).

a b c (Å): 3.193 3.193 7.010
angles (deg): 90.00 90.00 120.00
Last column: magnetic moment on the atom in μB.
Positions (direct):
Ag 0.000 0.000 0.018  0.02
Tc 0.667 0.333 0.336  0.92
Y 0.333 0.667 0.646  -0.01

Properties
Fermi-level density of states = 0.72 states/eV/atom
VASP energy = -0.4423 Ry per atom


10.
# YTcAg2

YTcAg2 after structural relaxation (PBE, Alexandria via LeMat-Bulk).

a b c (Å): 5.389 5.704 2.907
angles (deg): 80.71 78.59 114.96
Positions (direct):
Tc 0.000 0.500 0.500
Y 0.500 0.500 0.000
Ag 0.000 0.000 0.000
Ag 0.500 0.000 0.500

Properties
Fermi-level density of states = 0.78 states/eV/atom
VASP energy = -0.3912 Ry per atom


11.
# Y8TcAg2

Y8TcAg2 after structural relaxation (PBE, Alexandria via LeMat-Bulk).

a b c (Å): 5.591 9.503 9.503
angles (deg): 136.12 99.77 99.77
Positions (direct):
Y 0.616 0.409 0.176
Y 0.955 0.197 0.810
Ag 0.455 0.264 0.742
Y 0.955 0.810 0.197
Y 0.094 0.255 0.255
Y 0.616 0.176 0.409
Y 0.293 0.598 0.830
Y 0.815 0.751 0.751
Ag 0.455 0.742 0.264
Y 0.293 0.830 0.598
Tc 0.454 0.003 0.003

Properties
Fermi-level density of states = 0.96 states/eV/atom
VASP energy = -0.4584 Ry per atom


12.
# YTc2Ag

YTc2Ag after structural relaxation (PBE, Alexandria via LeMat-Bulk).

a b c (Å): 4.561 3.979 3.979
angles (deg): 90.00 90.00 90.00
Positions (direct):
Y 0.500 0.500 0.000
Tc 0.000 0.000 0.000
Tc 0.000 0.500 0.500
Ag 0.500 0.000 0.500

Properties
Fermi-level density of states = 1.32 states/eV/atom
VASP energy = -0.5265 Ry per atom


13.
# YTc2Ag

YTc2Ag after structural relaxation (PBE, Alexandria via LeMat-Bulk).

a b c (Å): 4.678 4.678 5.550
angles (deg): 78.16 78.16 41.45
Positions (direct):
Y 0.497 0.497 0.497
Tc 0.014 0.014 0.950
Tc 0.727 0.727 0.832
Ag 0.261 0.261 0.221

Properties
Fermi-level density of states = 0.77 states/eV/atom
VASP energy = -0.5289 Ry per atom


14.
# YTcAg2

YTcAg2 after structural relaxation (PBE, Alexandria via LeMat-Bulk).

a b c (Å): 4.003 4.003 10.821
angles (deg): 79.34 79.34 90.00
Last column: magnetic moment on the atom in μB.
Positions (direct):
Tc 0.750 0.250 0.500  1.21
Y 0.500 0.500 0.000  -0.04
Ag 0.875 0.891 0.750  0.01
Ag 0.641 0.125 0.250  0.01
Ag 0.109 0.625 0.250  0.01
Tc 0.000 0.000 0.000  1.21
Ag 0.375 0.359 0.750  0.01
Y 0.250 0.750 0.500  -0.04

Properties
Fermi-level density of states = 0.98 states/eV/atom
VASP energy = -0.3764 Ry per atom


15.
# YTc2Ag

YTc2Ag after structural relaxation (PBE, Alexandria via LeMat-Bulk).

a b c (Å): 4.688 4.688 4.688
angles (deg): 60.00 60.00 60.00
Last column: magnetic moment on the atom in μB.
Positions (direct):
Ag 0.500 0.500 0.500  0.08
Tc 0.750 0.750 0.750  1.05
Y 0.000 0.000 0.000  0.05
Tc 0.250 0.250 0.250  1.05

Properties
Fermi-level density of states = 1.04 states/eV/atom
VASP energy = -0.5023 Ry per atom


16.
# YTc2Ag

YTc2Ag after structural relaxation (PBE, Alexandria via LeMat-Bulk).

a b c (Å): 10.125 10.125 10.125
angles (deg): 16.37 16.37 16.37
Positions (direct):
Y 0.250 0.250 0.250
Ag 0.750 0.750 0.750
Tc 0.004 0.004 0.004
Tc 0.496 0.496 0.496

Properties
Fermi-level density of states = 1.98 states/eV/atom
VASP energy = -0.4978 Ry per atom


17.
# YTc2Ag

YTc2Ag after structural relaxation (PBE, Alexandria via LeMat-Bulk).

a b c (Å): 3.517 3.517 6.292
angles (deg): 90.00 90.00 90.00
Positions (direct):
Tc 0.000 0.000 0.563
Ag 0.500 0.500 0.750
Y 0.500 0.500 0.250
Tc 0.000 0.000 0.937

Properties
Fermi-level density of states = 0.83 states/eV/atom
VASP energy = -0.5147 Ry per atom


18.
# YTc2Ag

YTc2Ag after structural relaxation (PBE, Alexandria via LeMat-Bulk).

a b c (Å): 9.944 9.944 9.944
angles (deg): 16.88 16.88 16.88
Positions (direct):
Y 0.503 0.503 0.503
Ag 0.744 0.744 0.744
Tc 0.994 0.994 0.994
Tc 0.259 0.259 0.259

Properties
Fermi-level density of states = 0.90 states/eV/atom
VASP energy = -0.5233 Ry per atom


19.
# YTcAg2

YTcAg2 after structural relaxation (PBE, Alexandria via LeMat-Bulk).

a b c (Å): 5.250 5.250 5.250
angles (deg): 132.19 132.16 69.96
Last column: magnetic moment on the atom in μB.
Positions (direct):
Tc 0.500 0.500 0.000  1.45
Y 0.250 0.750 0.500  0.00
Ag 0.000 0.000 0.000  0.01
Ag 0.750 0.250 0.500  0.01

Properties
Fermi-level density of states = 1.07 states/eV/atom
VASP energy = -0.3954 Ry per atom


20.
# YTcAg2

YTcAg2 after structural relaxation (PBE, Alexandria via LeMat-Bulk).

a b c (Å): 4.820 4.820 4.820
angles (deg): 60.00 60.00 60.00
Last column: magnetic moment on the atom in μB.
Positions (direct):
Ag 0.750 0.750 0.750  0.00
Y 0.000 0.000 0.000  -0.10
Tc 0.500 0.500 0.500  1.36
Ag 0.250 0.250 0.250  0.00

Properties
Fermi-level density of states = 0.69 states/eV/atom
VASP energy = -0.3915 Ry per atom


Number 1: spin magnetization 0.00 μB per formula unit, formation energy from the elements 9.8 kcal/mol of atoms, energy above the lowest structure with this stoichiometry 1.39 eV per formula unit. Number 2: spin magnetization 0.00 μB per formula unit, formation energy from the elements 1.8 kcal/mol of atoms, energy above the lowest structure with this stoichiometry 0.00 eV per formula unit. Number 3: spin magnetization 1.31 μB per formula unit, formation energy from the elements 5.3 kcal/mol of atoms, energy above the lowest structure with this stoichiometry 0.21 eV per formula unit. Number 4: spin magnetization 0.00 μB per formula unit, formation energy from the elements 11.8 kcal/mol of atoms, energy above the lowest structure with this stoichiometry 1.75 eV per formula unit. Number 5: spin magnetization 1.02 μB per formula unit, formation energy from the elements 7.4 kcal/mol of atoms, energy above the lowest structure with this stoichiometry 0.59 eV per formula unit. Number 6: spin magnetization 0.00 μB per formula unit, formation energy from the elements 13.7 kcal/mol of atoms, energy above the lowest structure with this stoichiometry 2.08 eV per formula unit. Number 7: spin magnetization 0.13 μB per formula unit, formation energy from the elements 4.8 kcal/mol of atoms, energy above the lowest structure with this stoichiometry 0.13 eV per formula unit. Number 8: spin magnetization 0.00 μB per formula unit, formation energy from the elements 13.9 kcal/mol of atoms, energy above the lowest structure with this stoichiometry 2.11 eV per formula unit. Number 9: spin magnetization 0.98 μB per formula unit, formation energy from the elements 12.5 kcal/mol of atoms, energy above the lowest structure with this stoichiometry 0.70 eV per formula unit. Number 10: spin magnetization 0.00 μB per formula unit, formation energy from the elements 7.1 kcal/mol of atoms, energy above the lowest structure with this stoichiometry 0.54 eV per formula unit. Number 11: spin magnetization 0.00 μB per formula unit, formation energy from the elements -1.7 kcal/mol of atoms, energy above the lowest structure with this stoichiometry 0.55 eV per formula unit. Number 12: spin magnetization 0.00 μB per formula unit, formation energy from the elements 8.0 kcal/mol of atoms, energy above the lowest structure with this stoichiometry 1.09 eV per formula unit. Number 13: spin magnetization 0.00 μB per formula unit, formation energy from the elements 7.3 kcal/mol of atoms, energy above the lowest structure with this stoichiometry 0.96 eV per formula unit. Number 14: spin magnetization 1.28 μB per formula unit, formation energy from the elements 11.8 kcal/mol of atoms, energy above the lowest structure with this stoichiometry 1.35 eV per formula unit. Number 15: spin magnetization 2.43 μB per formula unit, formation energy from the elements 15.6 kcal/mol of atoms, energy above the lowest structure with this stoichiometry 2.40 eV per formula unit. Number 16: spin magnetization 0.01 μB per formula unit, formation energy from the elements 17.0 kcal/mol of atoms, energy above the lowest structure with this stoichiometry 2.65 eV per formula unit. Number 17: spin magnetization 0.00 μB per formula unit, formation energy from the elements 11.7 kcal/mol of atoms, energy above the lowest structure with this stoichiometry 1.73 eV per formula unit. Number 18: spin magnetization 0.00 μB per formula unit, formation energy from the elements 9.0 kcal/mol of atoms, energy above the lowest structure with this stoichiometry 1.27 eV per formula unit. Number 19: spin magnetization 1.61 μB per formula unit, formation energy from the elements 5.8 kcal/mol of atoms, energy above the lowest structure with this stoichiometry 0.32 eV per formula unit. Number 20: spin magnetization 1.34 μB per formula unit, formation energy from the elements 7.1 kcal/mol of atoms, energy above the lowest structure with this stoichiometry 0.53 eV per formula unit.